# 1
# SrTlOs2, relaxed, DFT PBEsol
# E_form (meV per atom): 1024
# Excess energy over the best structure of this formula in the dataset (eV/atom): 0.027
data_SrTlOs2
_space_group_name_H-M_alt 'P 1 2/m 1'
_space_group_IT_number 10
_cell_length_a 2.900
_cell_length_b 4.915
_cell_length_c 5.792
_cell_angle_alpha 90.00
_cell_angle_beta 96.80
_cell_angle_gamma 90.00
loop_
_space_group_symop_operation_xyz
'x,y,z'
'-x,-y,-z'
'-x,y,-z'
'x,-y,z'
loop_
_atom_site_label
_atom_site_fract_x
_atom_site_fract_y
_atom_site_fract_z
Sr1 0.000 0.000 0.000
Tl1 0.500 0.000 0.500
Os1 0.302 0.500 0.687


# 2
# CsBe3Ni, relaxed, DFT PBEsol
# E_form (meV per atom): 762
data_CsBe3Ni
_space_group_name_H-M_alt 'P m -3 m'
_space_group_IT_number 221
_space_group_name_Hall '-P 4 2 3'
_cell_length_a 4.423
_cell_length_b 4.423
_cell_length_c 4.423
_cell_angle_alpha 90.00
_cell_angle_beta 90.00
_cell_angle_gamma 90.00
loop_
_atom_site_label
_atom_site_fract_x
_atom_site_fract_y
_atom_site_fract_z
Cs1 0.000 0.000 0.000
Be1 0.000 0.500 0.500
Ni1 0.500 0.500 0.500


# 3
# Mg5Ga, relaxed, DFT PBEsol
# E_form (meV per atom): -32
# Excess energy over the best structure of this formula in the dataset (eV/atom): 0.012
data_Mg5Ga
_space_group_name_H-M_alt 'P -6 m 2'
_space_group_IT_number 187
_space_group_name_Hall 'P -6 2'
_cell_length_a 3.1580
_cell_length_b 3.1580
_cell_length_c 14.7957
_cell_angle_alpha 90.00
_cell_angle_beta 90.00
_cell_angle_gamma 120.00
loop_
_atom_site_label
_atom_site_fract_x
_atom_site_fract_y
_atom_site_fract_z
Mg1 0.0000 0.0000 0.0000
Mg2 0.0000 0.0000 0.3484
Mg3 0.3333 0.6667 0.1742
Ga1 0.3333 0.6667 0.5000


# 4
# Sc2AgIr, relaxed, DFT PBEsol
# E_form (meV per atom): -456
# Excess energy over the best structure of this formula in the dataset (eV/atom): 0.212
data_Sc2AgIr
_space_group_name_H-M_alt 'I -4 m 2'
_space_group_IT_number 119
_space_group_name_Hall 'I -4 -2'
_cell_length_a 3.975
_cell_length_b 3.975
_cell_length_c 8.795
_cell_angle_alpha 90.00
_cell_angle_beta 90.00
_cell_angle_gamma 90.00
loop_
_atom_site_label
_atom_site_fract_x
_atom_site_fract_y
_atom_site_fract_z
Sc1 0.000 0.000 0.000
Sc2 0.000 0.500 0.250
Ag1 0.000 0.000 0.500
Ir1 0.000 0.500 0.750


# 5
# Sc4BeAu, relaxed, DFT PBEsol
# E_form (meV per atom): 423
data_Sc4BeAu
_space_group_name_H-M_alt 'F -4 3 m'
_space_group_IT_number 216
_space_group_name_Hall 'F -4 2 3'
_cell_length_a 7.776
_cell_length_b 7.776
_cell_length_c 7.776
_cell_angle_alpha 90.00
_cell_angle_beta 90.00
_cell_angle_gamma 90.00
loop_
_atom_site_label
_atom_site_fract_x
_atom_site_fract_y
_atom_site_fract_z
Sc1 0.125 0.125 0.125
Be1 0.250 0.250 0.750
Au1 0.000 0.000 0.500


# 6
This record from Alexandria via LeMat-Bulk describes an optimized crystal structure of Cs3HfI. The functional is PBEsol.

Geometry as CIF:
```
data_Cs3HfI
_space_group_name_H-M_alt 'P m -3 m'
_space_group_IT_number 221
_space_group_name_Hall '-P 4 2 3'
_cell_length_a 7.072
_cell_length_b 7.072
_cell_length_c 7.072
_cell_angle_alpha 90.00
_cell_angle_beta 90.00
_cell_angle_gamma 90.00
loop_
_atom_site_label
_atom_site_fract_x
_atom_site_fract_y
_atom_site_fract_z
Cs1 0.000 0.000 0.500
Hf1 0.500 0.500 0.500
I1 0.000 0.000 0.000
```


# 7
# SrRe2Tc, relaxed, DFT PBEsol
# E_form (meV per atom): 952
# Excess energy over the best structure of this formula in the dataset (eV/atom): 0.138
data_SrRe2Tc
_space_group_name_H-M_alt 'F -4 3 m'
_space_group_IT_number 216
_space_group_name_Hall 'F -4 2 3'
_cell_length_a 6.428
_cell_length_b 6.428
_cell_length_c 6.428
_cell_angle_alpha 90.00
_cell_angle_beta 90.00
_cell_angle_gamma 90.00
loop_
_atom_site_label
_atom_site_fract_x
_atom_site_fract_y
_atom_site_fract_z
Sr1 0.000 0.000 0.000
Re1 0.000 0.000 0.500
Re2 0.250 0.250 0.750
Tc1 0.250 0.250 0.250


# 8
This record from Alexandria via LeMat-Bulk describes an optimized crystal structure of NaCa3ScZn3Si8O24. The functional is PBEsol.

Geometry as CIF:
```
data_NaCa3ScZn3Si8O24
_space_group_name_H-M_alt 'P 1 2/c 1'
_space_group_IT_number 13
_cell_length_a 5.284
_cell_length_b 17.901
_cell_length_c 9.800
_cell_angle_alpha 90.00
_cell_angle_beta 105.19
_cell_angle_gamma 90.00
loop_
_space_group_symop_operation_xyz
'x,y,z'
'-x,-y,-z'
'-x,y,-z+1/2'
'x,-y,z+1/2'
loop_
_atom_site_label
_atom_site_fract_x
_atom_site_fract_y
_atom_site_fract_z
Na1 0.000 0.027 0.250
Ca1 0.000 0.476 0.750
Ca2 0.500 0.226 0.250
Ca3 0.500 0.276 0.750
Sc1 0.500 0.074 0.750
Zn1 0.000 0.173 0.750
Zn2 0.000 0.328 0.250
Zn3 0.500 0.422 0.250
Si1 0.194 0.329 0.963
Si2 0.198 0.172 0.461
Si3 0.300 0.081 0.038
Si4 0.305 0.422 0.536
O1 0.099 0.136 0.100
O2 0.104 0.366 0.601
O3 0.212 0.251 0.887
O4 0.214 0.253 0.391
O5 0.221 0.420 0.365
O6 0.223 0.083 0.867
O7 0.279 0.331 0.134
O8 0.284 0.169 0.633
O9 0.286 0.499 0.111
O10 0.296 0.000 0.110
O11 0.396 0.385 0.899
O12 0.406 0.120 0.398
```


# 9
This record from Alexandria via LeMat-Bulk describes an optimized crystal structure of SiAs3P. The functional is PBEsol.

Geometry as CIF:
```
data_SiAs3P
_space_group_name_H-M_alt 'P m -3 m'
_space_group_IT_number 221
_space_group_name_Hall '-P 4 2 3'
_cell_length_a 4.684
_cell_length_b 4.684
_cell_length_c 4.684
_cell_angle_alpha 90.00
_cell_angle_beta 90.00
_cell_angle_gamma 90.00
loop_
_atom_site_label
_atom_site_fract_x
_atom_site_fract_y
_atom_site_fract_z
Si1 0.000 0.000 0.000
As1 0.000 0.500 0.500
P1 0.500 0.500 0.500
```


# 10
# LiCoNi6, relaxed, DFT PBEsol
# E_form (meV per atom): 13
data_LiCoNi6
_space_group_name_H-M_alt 'C m m m'
_space_group_IT_number 65
_space_group_name_Hall '-C 2 2'
_cell_length_a 6.919
_cell_length_b 9.784
_cell_length_c 9.785
_cell_angle_alpha 90.00
_cell_angle_beta 90.00
_cell_angle_gamma 90.00
loop_
_atom_site_label
_atom_site_fract_x
_atom_site_fract_y
_atom_site_fract_z
Li1 0.000 0.000 0.249
Li2 0.000 0.251 0.000
Co1 0.000 0.247 0.500
Co2 0.000 0.500 0.246
Ni1 0.000 0.000 0.000
Ni2 0.000 0.000 0.500
Ni3 0.000 0.252 0.252
Ni4 0.000 0.500 0.000
Ni5 0.000 0.500 0.500
Ni6 0.248 0.374 0.376
Ni7 0.248 0.376 0.126


# 11
This record from Alexandria via LeMat-Bulk describes an optimized crystal structure of Rb2NbMoH. The functional is PBEsol.

Geometry as CIF:
```
data_Rb2NbMoH
_space_group_name_H-M_alt 'P 4/m m m'
_space_group_IT_number 123
_space_group_name_Hall '-P 4 2'
_cell_length_a 4.574
_cell_length_b 4.574
_cell_length_c 5.543
_cell_angle_alpha 90.00
_cell_angle_beta 90.00
_cell_angle_gamma 90.00
loop_
_atom_site_label
_atom_site_fract_x
_atom_site_fract_y
_atom_site_fract_z
Rb1 0.000 0.500 0.000
Nb1 0.000 0.000 0.500
Mo1 0.500 0.500 0.500
H1 0.000 0.000 0.000
```


# 12
This record from Alexandria via LeMat-Bulk describes an optimized crystal structure of Cu2SiMo. The functional is PBEsol.

Geometry as CIF:
```
data_Cu2SiMo
_space_group_name_H-M_alt 'P m m m'
_space_group_IT_number 47
_cell_length_a 2.636
_cell_length_b 3.753
_cell_length_c 5.178
_cell_angle_alpha 90.00
_cell_angle_beta 90.00
_cell_angle_gamma 90.00
loop_
_space_group_symop_operation_xyz
'x,y,z'
'-x,-y,-z'
'-x,-y,z'
'x,y,-z'
'x,-y,-z'
'-x,y,z'
'-x,y,-z'
'x,-y,z'
loop_
_atom_site_label
_atom_site_fract_x
_atom_site_fract_y
_atom_site_fract_z
Cu1 0.000 0.000 0.241
Si1 0.500 0.500 0.000
Mo1 0.500 0.500 0.500
```


| no. | calculated total energy (eV per atom) | size of the total moment (μB per formula unit) |
| --- | --- | --- |
| 1 | -6.20 | 0.00 |
| 2 | -3.06 | 0.00 |
| 3 | -2.02 | 0.00 |
| 4 | -7.04 | 0.00 |
| 5 | -5.30 | 0.00 |
| 6 | -2.46 | 3.99 |
| 7 | -8.99 | 0.00 |
| 8 | -7.50 | 0.00 |
| 9 | -4.52 | 0.00 |
| 10 | -5.82 | 5.13 |
| 11 | -3.89 | 0.57 |
| 12 | -6.41 | 0.00 |